1.
TbCePd14 | GGA-PBE | optimized geometry

- energy of formation from the pure elements (eV per atom) = -0.419

Cell and atoms, written as CIF:
```
data_TbCePd14
_space_group_name_H-M_alt 'P 4/m m m'
_space_group_IT_number 123
_space_group_name_Hall '-P 4 2'
_cell_length_a 5.812
_cell_length_b 5.812
_cell_length_c 7.869
_cell_angle_alpha 90.00
_cell_angle_beta 90.00
_cell_angle_gamma 90.00
loop_
_atom_site_label
_atom_site_type_symbol
_atom_site_fract_x
_atom_site_fract_y
_atom_site_fract_z
Tb1 Tb 0.000 0.000 0.000
Ce1 Ce 0.500 0.500 0.000
Pd1 Pd 0.000 0.000 0.500
Pd2 Pd 0.000 0.500 0.000
Pd3 Pd 0.000 0.500 0.500
Pd4 Pd 0.251 0.251 0.258
Pd5 Pd 0.500 0.500 0.500
```

***

2.
TbCePd | GGA-PBE | optimized geometry

- polymorph energy (0 for the lowest one) (meV/atom) = 166
- energy of formation from the pure elements (eV per atom) = -0.286

Cell and atoms, written as CIF:
```
data_TbCePd
_space_group_name_H-M_alt 'P 3 m 1'
_space_group_IT_number 156
_space_group_name_Hall 'P 3 -2"'
_cell_length_a 4.8060
_cell_length_b 4.8060
_cell_length_c 3.6913
_cell_angle_alpha 90.00
_cell_angle_beta 90.00
_cell_angle_gamma 120.00
loop_
_atom_site_label
_atom_site_type_symbol
_atom_site_fract_x
_atom_site_fract_y
_atom_site_fract_z
Tb1 Tb 0.0000 0.0000 0.0000
Ce1 Ce 0.3333 0.6667 0.4101
Pd1 Pd 0.6667 0.3333 0.7226
```

***

3.
TbCePd2 | GGA-PBE | optimized geometry

- energy of formation from the pure elements (eV per atom) = -0.734

Cell and atoms, written as CIF:
```
data_TbCePd2
_space_group_name_H-M_alt 'P 4/m m m'
_space_group_IT_number 123
_space_group_name_Hall '-P 4 2'
_cell_length_a 5.076
_cell_length_b 5.076
_cell_length_c 3.474
_cell_angle_alpha 90.00
_cell_angle_beta 90.00
_cell_angle_gamma 90.00
loop_
_atom_site_label
_atom_site_type_symbol
_atom_site_fract_x
_atom_site_fract_y
_atom_site_fract_z
Tb1 Tb 0.000 0.000 0.000
Ce1 Ce 0.500 0.500 0.000
Pd1 Pd 0.000 0.500 0.500
```

***

4.
Tb4CePd15 | GGA-PBE | optimized geometry

- energy of formation from the pure elements (eV per atom) = -0.873

Cell and atoms, written as CIF:
```
data_Tb4CePd15
_space_group_name_H-M_alt 'P 4/m m m'
_space_group_IT_number 123
_space_group_name_Hall '-P 4 2'
_cell_length_a 4.131
_cell_length_b 4.131
_cell_length_c 20.698
_cell_angle_alpha 90.00
_cell_angle_beta 90.00
_cell_angle_gamma 90.00
loop_
_atom_site_label
_atom_site_type_symbol
_atom_site_fract_x
_atom_site_fract_y
_atom_site_fract_z
Tb1 Tb 0.000 0.000 0.100
Tb2 Tb 0.000 0.000 0.299
Ce1 Ce 0.000 0.000 0.500
Pd1 Pd 0.000 0.500 0.000
Pd2 Pd 0.000 0.500 0.200
Pd3 Pd 0.000 0.500 0.402
Pd4 Pd 0.500 0.500 0.100
Pd5 Pd 0.500 0.500 0.301
Pd6 Pd 0.500 0.500 0.500
```

***

5.
Tb3CePd12 | GGA-PBE | optimized geometry

- energy of formation from the pure elements (eV per atom) = -0.873

Cell and atoms, written as CIF:
```
data_Tb3CePd12
_space_group_name_H-M_alt 'P 4/m m m'
_space_group_IT_number 123
_space_group_name_Hall '-P 4 2'
_cell_length_a 4.136
_cell_length_b 4.136
_cell_length_c 16.522
_cell_angle_alpha 90.00
_cell_angle_beta 90.00
_cell_angle_gamma 90.00
loop_
_atom_site_label
_atom_site_type_symbol
_atom_site_fract_x
_atom_site_fract_y
_atom_site_fract_z
Tb1 Tb 0.000 0.000 0.000
Tb2 Tb 0.000 0.000 0.248
Ce1 Ce 0.000 0.000 0.500
Pd1 Pd 0.000 0.500 0.125
Pd2 Pd 0.000 0.500 0.377
Pd3 Pd 0.500 0.500 0.000
Pd4 Pd 0.500 0.500 0.251
Pd5 Pd 0.500 0.500 0.500
```

***

6.
TbCe2Pd9 | GGA-PBE | optimized geometry

- energy of formation from the pure elements (eV per atom) = -0.857

Cell and atoms, written as CIF:
```
data_TbCe2Pd9
_space_group_name_H-M_alt 'P 4/m m m'
_space_group_IT_number 123
_space_group_name_Hall '-P 4 2'
_cell_length_a 4.146
_cell_length_b 4.146
_cell_length_c 12.433
_cell_angle_alpha 90.00
_cell_angle_beta 90.00
_cell_angle_gamma 90.00
loop_
_atom_site_label
_atom_site_type_symbol
_atom_site_fract_x
_atom_site_fract_y
_atom_site_fract_z
Tb1 Tb 0.000 0.000 0.000
Ce1 Ce 0.000 0.000 0.331
Pd1 Pd 0.000 0.500 0.168
Pd2 Pd 0.000 0.500 0.500
Pd3 Pd 0.500 0.500 0.000
Pd4 Pd 0.500 0.500 0.333
```

***

Look up the energy of formation from the pure elements of the fourth one.
-0.873 eV per atom

***

The highest energy of formation from the pure elements belongs to which entry?
TbCePd